Below is crystalline CeThPa2As4 at its relaxed geometry, with properties calculated at the PBE level.

Structure (CIF):
```
data_CeThPa2As4
_chemical_formula_sum 'Ce1 Th1 Pa2 As4'
_symmetry_space_group_name_H-M 'P 1'
_symmetry_Int_Tables_number 1
_cell_length_a 7.201
_cell_length_b 4.161
_cell_length_c 7.218
_cell_angle_alpha 90.00
_cell_angle_beta 109.47
_cell_angle_gamma 90.00
loop_
_symmetry_equiv_pos_as_xyz
'x,y,z'
loop_
_atom_site_label
_atom_site_type_symbol
_atom_site_fract_x
_atom_site_fract_y
_atom_site_fract_z
Ce1 Ce 0.000 0.000 0.000
Th1 Th 0.500 0.500 0.000
Pa1 Pa 0.000 0.500 0.500
Pa2 Pa 0.500 0.000 0.500
As1 As 0.245 0.000 0.739
As2 As 0.251 0.500 0.260
As3 As 0.749 0.500 0.740
As4 As 0.755 0.000 0.261
```

Summary:
* total moment: 0.5 μB per cell
* Fermi-level density of states: 1.3394 states/eV/atom
* formation enthalpy at 0 K: -1235 meV per atom

***

Below is crystalline MoAs2 at its relaxed geometry, with properties calculated at the PBE level.

Structure (CIF):
```
data_MoAs2
_chemical_formula_sum 'Mo2 As4'
_symmetry_space_group_name_H-M 'P 1'
_symmetry_Int_Tables_number 1
_cell_length_a 5.690
_cell_length_b 5.690
_cell_length_c 6.931
_cell_angle_alpha 111.69
_cell_angle_beta 111.69
_cell_angle_gamma 33.27
loop_
_symmetry_equiv_pos_as_xyz
'x,y,z'
loop_
_atom_site_label
_atom_site_type_symbol
_atom_site_fract_x
_atom_site_fract_y
_atom_site_fract_z
Mo1 Mo 0.139 0.139 0.020
Mo2 Mo 0.861 0.861 0.980
As1 As 0.197 0.197 0.701
As2 As 0.462 0.462 0.759
As3 As 0.538 0.538 0.241
As4 As 0.803 0.803 0.299
```

Summary:
* total moment: 0.0 μB per cell
* Fermi-level density of states: 0.3944 states/eV/atom
* formation enthalpy at 0 K: -118 meV per atom

***

Below is crystalline Tb5Ho3H12 at its relaxed geometry, with properties calculated at the PBE level.

Structure (CIF):
```
data_Tb5Ho3H12
_chemical_formula_sum 'Tb20 Ho12 H48'
_symmetry_space_group_name_H-M 'P 1'
_symmetry_Int_Tables_number 1
_cell_length_a 11.319
_cell_length_b 11.319
_cell_length_c 11.319
_cell_angle_alpha 109.47
_cell_angle_beta 109.47
_cell_angle_gamma 109.47
loop_
_symmetry_equiv_pos_as_xyz
'x,y,z'
loop_
_atom_site_label
_atom_site_type_symbol
_atom_site_fract_x
_atom_site_fract_y
_atom_site_fract_z
Tb1 Tb 0.000 0.000 0.000
Tb2 Tb 0.000 0.000 0.500
Tb3 Tb 0.000 0.500 0.000
Tb4 Tb 0.000 0.500 0.500
Tb5 Tb 0.125 0.750 0.875
Tb6 Tb 0.125 0.875 0.250
Tb7 Tb 0.250 0.125 0.875
Tb8 Tb 0.250 0.625 0.375
Tb9 Tb 0.375 0.250 0.625
Tb10 Tb 0.375 0.625 0.750
Tb11 Tb 0.500 0.000 0.000
Tb12 Tb 0.500 0.000 0.500
Tb13 Tb 0.500 0.500 0.000
Tb14 Tb 0.500 0.500 0.500
Tb15 Tb 0.625 0.375 0.250
Tb16 Tb 0.625 0.750 0.375
Tb17 Tb 0.750 0.375 0.625
Tb18 Tb 0.750 0.875 0.125
Tb19 Tb 0.875 0.125 0.750
Tb20 Tb 0.875 0.250 0.125
Ho1 Ho 0.125 0.250 0.375
Ho2 Ho 0.125 0.375 0.750
Ho3 Ho 0.250 0.375 0.125
Ho4 Ho 0.250 0.875 0.625
Ho5 Ho 0.375 0.125 0.250
Ho6 Ho 0.375 0.750 0.125
Ho7 Ho 0.625 0.250 0.875
Ho8 Ho 0.625 0.875 0.750
Ho9 Ho 0.750 0.125 0.375
Ho10 Ho 0.750 0.625 0.875
Ho11 Ho 0.875 0.625 0.250
Ho12 Ho 0.875 0.750 0.625
H1 H 0.067 0.225 0.156
H2 H 0.067 0.343 0.911
H3 H 0.069 0.725 0.657
H4 H 0.069 0.844 0.411
H5 H 0.089 0.656 0.431
H6 H 0.089 0.933 0.657
H7 H 0.156 0.067 0.225
H8 H 0.156 0.589 0.931
H9 H 0.157 0.225 0.569
H10 H 0.157 0.433 0.589
H11 H 0.225 0.156 0.067
H12 H 0.225 0.569 0.157
H13 H 0.275 0.343 0.931
H14 H 0.275 0.433 0.344
H15 H 0.343 0.911 0.067
H16 H 0.343 0.931 0.275
H17 H 0.344 0.275 0.433
H18 H 0.344 0.569 0.911
H19 H 0.411 0.069 0.844
H20 H 0.411 0.843 0.567
H21 H 0.431 0.089 0.656
H22 H 0.431 0.843 0.775
H23 H 0.433 0.344 0.275
H24 H 0.433 0.589 0.157
H25 H 0.567 0.411 0.843
H26 H 0.567 0.656 0.725
H27 H 0.569 0.157 0.225
H28 H 0.569 0.911 0.344
H29 H 0.589 0.157 0.433
H30 H 0.589 0.931 0.156
H31 H 0.656 0.431 0.089
H32 H 0.656 0.725 0.567
H33 H 0.657 0.069 0.725
H34 H 0.657 0.089 0.933
H35 H 0.725 0.567 0.656
H36 H 0.725 0.657 0.069
H37 H 0.775 0.431 0.843
H38 H 0.775 0.844 0.933
H39 H 0.843 0.567 0.411
H40 H 0.843 0.775 0.431
H41 H 0.844 0.411 0.069
H42 H 0.844 0.933 0.775
H43 H 0.911 0.067 0.343
H44 H 0.911 0.344 0.569
H45 H 0.931 0.156 0.589
H46 H 0.931 0.275 0.343
H47 H 0.933 0.657 0.089
H48 H 0.933 0.775 0.844
```

Summary:
* total moment: 0.0 μB per cell
* total energy: -345.679 eV/cell
* Fermi-level density of states: 0.5566 states/eV/atom

***

Below is crystalline ZrTc2Sb at its relaxed geometry, with properties calculated at the PBE level.

Structure (CIF):
```
data_ZrTc2Sb
_chemical_formula_sum 'Zr1 Tc2 Sb1'
_symmetry_space_group_name_H-M 'P 1'
_symmetry_Int_Tables_number 1
_cell_length_a 5.469
_cell_length_b 5.469
_cell_length_c 5.469
_cell_angle_alpha 144.03
_cell_angle_beta 132.62
_cell_angle_gamma 60.90
loop_
_symmetry_equiv_pos_as_xyz
'x,y,z'
loop_
_atom_site_label
_atom_site_type_symbol
_atom_site_fract_x
_atom_site_fract_y
_atom_site_fract_z
Zr1 Zr 0.000 0.000 0.000
Tc1 Tc 0.504 0.504 0.000
Tc2 Tc 0.750 0.250 0.500
Sb1 Sb 0.263 0.763 0.500
```

Summary:
* total moment: 0.0 μB per cell
* formation energy (no corrections): -0.163 eV per atom
* Fermi-level density of states: 0.6782 states/eV/atom

***

Below is crystalline Cs2CrGa at its relaxed geometry, with properties calculated at the PBE level.

Structure (CIF):
```
data_Cs2CrGa
_chemical_formula_sum 'Cs4 Cr2 Ga2'
_symmetry_space_group_name_H-M 'P 1'
_symmetry_Int_Tables_number 1
_cell_length_a 10.312
_cell_length_b 10.312
_cell_length_c 10.312
_cell_angle_alpha 93.39
_cell_angle_beta 93.39
_cell_angle_gamma 151.85
loop_
_symmetry_equiv_pos_as_xyz
'x,y,z'
loop_
_atom_site_label
_atom_site_type_symbol
_atom_site_fract_x
_atom_site_fract_y
_atom_site_fract_z
Cs1 Cs 0.375 0.119 0.244
Cs2 Cs 0.869 0.625 0.744
Cs3 Cs 0.875 0.131 0.756
Cs4 Cs 0.881 0.125 0.256
Cr1 Cr 0.000 0.000 0.000
Cr2 Cr 0.750 0.250 0.500
Ga1 Ga 0.250 0.750 0.500
Ga2 Ga 0.500 0.500 0.000
```

Summary:
* total moment: 7.5 μB per cell
* Fermi-level density of states: 0.7354 states/eV/atom
* formation enthalpy at 0 K: 555 meV per atom

***

Below is crystalline CrSb at its relaxed geometry, with properties calculated at the PBE level.

Structure (CIF):
```
data_CrSb
_chemical_formula_sum 'Cr6 Sb6'
_symmetry_space_group_name_H-M 'P 1'
_symmetry_Int_Tables_number 1
_cell_length_a 7.510
_cell_length_b 7.510
_cell_length_c 7.510
_cell_angle_alpha 90.00
_cell_angle_beta 90.00
_cell_angle_gamma 90.00
loop_
_symmetry_equiv_pos_as_xyz
'x,y,z'
loop_
_atom_site_label
_atom_site_type_symbol
_atom_site_fract_x
_atom_site_fract_y
_atom_site_fract_z
Cr1 Cr 0.000 0.250 0.500
Cr2 Cr 0.000 0.750 0.500
Cr3 Cr 0.250 0.500 0.000
Cr4 Cr 0.500 0.000 0.250
Cr5 Cr 0.500 0.000 0.750
Cr6 Cr 0.750 0.500 0.000
Sb1 Sb 0.000 0.500 0.250
Sb2 Sb 0.000 0.500 0.750
Sb3 Sb 0.250 0.000 0.500
Sb4 Sb 0.500 0.250 0.000
Sb5 Sb 0.500 0.750 0.000
Sb6 Sb 0.750 0.000 0.500
```

Summary:
* total moment: 18.0 μB per cell
* formation energy (no corrections): 0.655 eV per atom
* Fermi-level density of states: 0.5021 states/eV/atom

***

Below is crystalline La2Tb5Dy6 at its relaxed geometry, with properties calculated at the PBE level.

Structure (CIF):
```
data_La2Tb5Dy6
_chemical_formula_sum 'La4 Tb10 Dy12'
_symmetry_space_group_name_H-M 'P 1'
_symmetry_Int_Tables_number 1
_cell_length_a 11.756
_cell_length_b 20.356
_cell_length_c 3.599
_cell_angle_alpha 90.00
_cell_angle_beta 90.00
_cell_angle_gamma 90.00
loop_
_symmetry_equiv_pos_as_xyz
'x,y,z'
loop_
_atom_site_label
_atom_site_type_symbol
_atom_site_fract_x
_atom_site_fract_y
_atom_site_fract_z
La1 La 0.169 0.220 0.000
La2 La 0.331 0.720 0.000
La3 La 0.669 0.280 0.000
La4 La 0.831 0.780 0.000
Tb1 Tb 0.000 0.500 0.500
Tb2 Tb 0.093 0.781 0.500
Tb3 Tb 0.200 0.053 0.500
Tb4 Tb 0.300 0.553 0.500
Tb5 Tb 0.407 0.281 0.500
Tb6 Tb 0.500 0.000 0.500
Tb7 Tb 0.593 0.719 0.500
Tb8 Tb 0.700 0.447 0.500
Tb9 Tb 0.800 0.947 0.500
Tb10 Tb 0.907 0.219 0.500
Dy1 Dy 0.060 0.925 0.000
Dy2 Dy 0.076 0.637 0.000
Dy3 Dy 0.181 0.377 0.500
Dy4 Dy 0.319 0.877 0.500
Dy5 Dy 0.424 0.137 0.000
Dy6 Dy 0.440 0.425 0.000
Dy7 Dy 0.560 0.575 0.000
Dy8 Dy 0.576 0.863 0.000
Dy9 Dy 0.681 0.123 0.500
Dy10 Dy 0.819 0.623 0.500
Dy11 Dy 0.924 0.363 0.000
Dy12 Dy 0.940 0.075 0.000
```

Summary:
* total moment: 0.0 μB per cell
* Fermi-level density of states: 1.3440 states/eV/atom
* formation enthalpy at 0 K: 100 meV per atom

***

Below is crystalline CdAgRh2 at its relaxed geometry, with properties calculated at the PBE level.

Structure (CIF):
```
data_CdAgRh2
_chemical_formula_sum 'Cd1 Ag1 Rh2'
_symmetry_space_group_name_H-M 'P 1'
_symmetry_Int_Tables_number 1
_cell_length_a 4.018
_cell_length_b 4.018
_cell_length_c 4.073
_cell_angle_alpha 90.00
_cell_angle_beta 90.00
_cell_angle_gamma 90.00
loop_
_symmetry_equiv_pos_as_xyz
'x,y,z'
loop_
_atom_site_label
_atom_site_type_symbol
_atom_site_fract_x
_atom_site_fract_y
_atom_site_fract_z
Cd1 Cd 0.000 0.000 0.000
Ag1 Ag 0.500 0.500 0.000
Rh1 Rh 0.000 0.500 0.500
Rh2 Rh 0.500 0.000 0.500
```

Summary:
* total moment: 1.1 μB per cell
* Fermi-level density of states: 1.3929 states/eV/atom
* formation enthalpy at 0 K: 173 meV per atom

***

Below is crystalline Cs2TlOs2O7 at its relaxed geometry, with properties calculated at the PBE level.

Structure (CIF):
```
data_Cs2TlOs2O7
_chemical_formula_sum 'Cs2 Tl1 Os2 O7'
_symmetry_space_group_name_H-M 'P 1'
_symmetry_Int_Tables_number 1
_cell_length_a 12.516
_cell_length_b 12.516
_cell_length_c 12.516
_cell_angle_alpha 161.72
_cell_angle_beta 161.72
_cell_angle_gamma 25.96
loop_
_symmetry_equiv_pos_as_xyz
'x,y,z'
loop_
_atom_site_label
_atom_site_type_symbol
_atom_site_fract_x
_atom_site_fract_y
_atom_site_fract_z
Cs1 Cs 0.185 0.185 0.000
Cs2 Cs 0.815 0.815 0.000
Tl1 Tl 0.000 0.000 0.000
Os1 Os 0.417 0.417 0.000
Os2 Os 0.583 0.583 0.000
O1 O 0.082 0.582 0.500
O2 O 0.340 0.340 0.000
O3 O 0.418 0.918 0.500
O4 O 0.500 0.500 0.000
O5 O 0.582 0.082 0.500
O6 O 0.660 0.660 0.000
O7 O 0.918 0.418 0.500
```

Summary:
* total moment: 0.9 μB per cell
* formation energy (no corrections): -1.036 eV per atom
* Fermi-level density of states: 0.6014 states/eV/atom

***

Below is crystalline NaGe2Pb2Au7 at its relaxed geometry, with properties calculated at the PBE level.

Structure (CIF):
```
data_NaGe2Pb2Au7
_chemical_formula_sum 'Na1 Ge2 Pb2 Au7'
_symmetry_space_group_name_H-M 'P 1'
_symmetry_Int_Tables_number 1
_cell_length_a 4.528
_cell_length_b 4.528
_cell_length_c 12.960
_cell_angle_alpha 94.53
_cell_angle_beta 94.53
_cell_angle_gamma 83.09
loop_
_symmetry_equiv_pos_as_xyz
'x,y,z'
loop_
_atom_site_label
_atom_site_type_symbol
_atom_site_fract_x
_atom_site_fract_y
_atom_site_fract_z
Na1 Na 0.000 0.000 0.000
Ge1 Ge 0.452 0.452 0.749
Ge2 Ge 0.548 0.548 0.251
Pb1 Pb 0.063 0.063 0.360
Pb2 Pb 0.937 0.937 0.640
Au1 Au 0.027 0.529 0.150
Au2 Au 0.330 0.330 0.553
Au3 Au 0.471 0.973 0.850
Au4 Au 0.500 0.500 0.000
Au5 Au 0.529 0.027 0.150
Au6 Au 0.670 0.670 0.447
Au7 Au 0.973 0.471 0.850
```

Summary:
* total moment: 0.0 μB per cell
* Fermi-level density of states: 0.2454 states/eV/atom
* formation enthalpy at 0 K: -66 meV per atom

***

Below is crystalline TbPm2Se2O2 at its relaxed geometry, with properties calculated at the PBE level.

Structure (CIF):
```
data_TbPm2Se2O2
_chemical_formula_sum 'Tb1 Pm2 Se2 O2'
_symmetry_space_group_name_H-M 'P 1'
_symmetry_Int_Tables_number 1
_cell_length_a 8.352
_cell_length_b 8.352
_cell_length_c 8.352
_cell_angle_alpha 149.90
_cell_angle_beta 149.90
_cell_angle_gamma 43.09
loop_
_symmetry_equiv_pos_as_xyz
'x,y,z'
loop_
_atom_site_label
_atom_site_type_symbol
_atom_site_fract_x
_atom_site_fract_y
_atom_site_fract_z
Tb1 Tb 0.000 0.000 0.000
Pm1 Pm 0.373 0.373 0.000
Pm2 Pm 0.627 0.627 0.000
Se1 Se 0.182 0.182 0.000
Se2 Se 0.818 0.818 0.000
O1 O 0.000 0.500 0.500
O2 O 0.500 0.000 0.500
```

Summary:
* total moment: 0.0 μB per cell
* formation energy (no corrections): -2.322 eV per atom
* Fermi-level density of states: 0.4154 states/eV/atom

***

Below is crystalline Tb3Dy3Th8 at its relaxed geometry, with properties calculated at the PBE level.

Structure (CIF):
```
data_Tb3Dy3Th8
_chemical_formula_sum 'Tb3 Dy3 Th8'
_symmetry_space_group_name_H-M 'P 1'
_symmetry_Int_Tables_number 1
_cell_length_a 9.752
_cell_length_b 9.752
_cell_length_c 9.752
_cell_angle_alpha 145.97
_cell_angle_beta 113.16
_cell_angle_gamma 77.17
loop_
_symmetry_equiv_pos_as_xyz
'x,y,z'
loop_
_atom_site_label
_atom_site_type_symbol
_atom_site_fract_x
_atom_site_fract_y
_atom_site_fract_z
Tb1 Tb 0.000 0.000 0.000
Tb2 Tb 0.183 0.683 0.500
Tb3 Tb 0.817 0.317 0.500
Dy1 Dy 0.193 0.500 0.693
Dy2 Dy 0.500 0.500 0.000
Dy3 Dy 0.807 0.500 0.307
Th1 Th 0.126 0.281 0.845
Th2 Th 0.231 0.895 0.336
Th3 Th 0.437 0.281 0.155
Th4 Th 0.441 0.105 0.336
Th5 Th 0.559 0.895 0.664
Th6 Th 0.563 0.719 0.845
Th7 Th 0.769 0.105 0.664
Th8 Th 0.874 0.719 0.155
```

Summary:
* total moment: 0.0 μB per cell
* Fermi-level density of states: 1.5146 states/eV/atom
* formation enthalpy at 0 K: 165 meV per atom

***

Ρ, record by record: 9.23; 7.19; 7.74; 9.71; 2.56; 4.09; 7.89; 10.76; 8.29; 12.42; 7.26; 10.02 g/cm³